# 1
NaTmHgGe: optimized geometry, PBE-GGA.

Cell and atoms, written as POSCAR:
```
NaTmHgGe
1.0
-2.837 -3.928 1.471
0.688 -4.552 -2.110
2.074 -3.752 2.695
Na Ge Tm Hg
1 1 1 1
direct
0.500 0.500 0.500
0.250 0.250 0.250
0.000 0.000 0.000
0.750 0.750 0.750
```

Results
E_tot	-3.049	eV/atom
space group	F-43m (216)
DOS at the Fermi energy	1.5	states/eV/cell
E_form	-371	meV/atom
crystal system	cubic

# 2
La8CeNd5: optimized geometry, PBE-GGA.

Cell and atoms, written as POSCAR:
```
La8CeNd5
1.0
-8.222 1.480 -2.456
6.053 2.429 -5.835
-0.205 -8.622 1.279
La Ce Nd
8 1 5
direct
0.192 0.730 0.087
0.095 0.238 0.740
0.681 0.246 0.324
0.682 0.455 0.947
0.481 0.555 0.255
0.498 0.771 0.868
0.348 0.237 0.458
0.081 0.764 0.446
0.151 0.504 0.541
0.957 0.237 0.068
0.870 0.960 0.269
0.821 0.736 0.714
0.593 0.011 0.600
0.300 0.056 0.932
```

Results
E_tot	-4.802	eV/atom
space group	P1 (1)
DOS at the Fermi energy	24.7	states/eV/cell
E_form	140	meV/atom
crystal system	triclinic

# 3
DyPuSnHg: optimized geometry, PBE-GGA.

Cell and atoms, written as POSCAR:
```
DyPuSnHg
1.0
5.323 0.000 0.000
2.662 4.610 0.000
2.662 1.537 4.346
Dy Hg Sn Pu
1 1 1 1
direct
0.000 0.000 0.000
0.750 0.750 0.750
0.250 0.250 0.250
0.500 0.500 0.500
```

Results
E_tot	-6.203	eV/atom
space group	F-43m (216)
DOS at the Fermi energy	10.2	states/eV/cell
E_form	-393	meV/atom
crystal system	cubic

# 4
CuAsCl2: optimized geometry, PBE-GGA.

Cell and atoms, written as POSCAR:
```
CuAsCl2
1.0
-5.848 3.657 -0.505
-0.955 -0.586 6.824
-1.694 4.332 3.639
As Cu Cl
2 2 4
direct
0.000 0.000 0.000
0.750 0.250 0.500
0.500 0.500 0.000
0.250 0.750 0.500
0.587 0.125 0.250
0.163 0.625 0.250
0.375 0.413 0.750
0.875 0.837 0.750
```

Results
E_tot	-2.927	eV/atom
space group	I-42d (122)
DOS at the Fermi energy	2.4	states/eV/cell
polymorph energy (0 for the lowest one)	0.5343	eV per atom
formation energy (no corrections)	0.18	eV per atom
crystal system	tetragonal

# 5
KLiTl2Br8: optimized geometry, PBE-GGA.

Cell and atoms, written as POSCAR:
```
KLiTl2Br8
1.0
6.916 0.000 0.000
3.458 5.990 0.000
3.458 1.997 10.553
K Li Tl Br
1 1 2 8
direct
0.000 0.000 0.000
0.500 0.500 0.500
0.751 0.751 0.747
0.249 0.249 0.253
0.668 0.668 0.996
0.332 0.332 0.004
0.592 0.228 0.320
0.772 0.408 0.680
0.140 0.772 0.680
0.228 0.860 0.320
0.860 0.592 0.320
0.408 0.140 0.680
```

Results
E_tot	-2.586	eV/atom
space group	R32 (155)
DOS at the Fermi energy	0.0	states/eV/cell
formation energy (no corrections)	-0.83	eV per atom
crystal system	trigonal

# 6
CuSn3Mo: optimized geometry, PBE-GGA.

Cell and atoms, written as POSCAR:
```
CuSn3Mo
1.0
-1.092 3.882 -2.996
-3.092 -2.928 -2.666
-3.806 1.265 3.026
Mo Sn Cu
1 3 1
direct
0.500 0.500 0.500
0.000 0.500 0.000
0.000 0.000 0.500
0.500 0.000 0.000
0.000 0.000 0.000
```

Results
E_tot	-4.481	eV/atom
space group	Pm-3m (221)
DOS at the Fermi energy	3.1	states/eV/cell
polymorph energy (0 for the lowest one)	0.2741	eV per atom
E_form	906	meV/atom
crystal system	cubic

# 7
MgCuBr3: optimized geometry, PBE-GGA.

Cell and atoms, written as POSCAR:
```
MgCuBr3
1.0
-2.680 6.758 0.387
-4.854 -1.609 -5.511
-7.088 -3.062 7.136
Mg Cu Br
4 4 12
direct
0.418 0.248 0.499
0.582 0.752 0.501
0.082 0.748 0.001
0.918 0.252 0.999
0.566 0.521 0.884
0.434 0.479 0.116
0.934 0.021 0.616
0.066 0.979 0.384
0.587 0.041 0.656
0.413 0.959 0.344
0.913 0.541 0.844
0.087 0.459 0.156
0.435 0.532 0.665
0.565 0.468 0.335
0.065 0.032 0.835
0.935 0.968 0.165
0.065 0.269 0.494
0.935 0.731 0.506
0.435 0.769 0.006
0.565 0.231 0.994
```

Results
E_tot	-3.078	eV/atom
space group	P2_1/c (14)
DOS at the Fermi energy	0.0	states/eV/cell
polymorph energy (0 for the lowest one)	0.0000	eV per atom
formation energy (no corrections)	-0.94	eV per atom
crystal system	monoclinic

# 8
V2GaGe: optimized geometry, PBE-GGA.

Cell and atoms, written as POSCAR:
```
V2GaGe
1.0
-0.560 1.771 -2.103
0.923 -0.561 -2.590
-7.084 -3.835 -3.215
V Ga Ge
2 1 1
direct
0.083 0.083 0.752
0.251 0.251 0.248
0.500 0.500 0.500
0.667 0.667 0.000
```

Results
E_tot	-6.531	eV/atom
space group	R3m (160)
DOS at the Fermi energy	3.7	states/eV/cell
E_form	-61	meV/atom
crystal system	trigonal